Below is an optimized crystal structure of Cd2Te2O5, with properties calculated at the PBE-GGA level.

DFT total energy in eV per atom: -4.3386

Cell: 4.049 4.049 8.267 Å, 90.00 90.00 90.00°
Sites, in units of the cell vectors:
Cd1 0.000 0.000 0.000
Cd2 0.000 0.000 0.500
Te1 0.500 0.500 0.239
Te2 0.500 0.500 0.761
O1 0.000 0.500 0.185
O2 0.000 0.500 0.815
O3 0.500 0.000 0.185
O4 0.500 0.000 0.815
O5 0.500 0.500 0.000